Density functional theory data (PBE) for a relaxed Nd4DySc3 crystal.

Lattice parameters (Å, degrees): 6.1340 7.1713 11.1916 90.00 90.00 90.00
Last column: nearest neighbours and their distance in Å.
Positions (direct):
Nd1 0.3536 0.6180 0.0000  6 Sc 3.43-3.63, 2 Dy 3.48-3.54, 4 Nd 3.48-3.69
Nd2 0.3641 0.1323 0.0000  2 Dy 3.46-3.63, 6 Nd 3.48-3.69, 4 Sc 3.49-3.62
Nd3 0.0239 0.1271 0.2495  6 Sc 3.49-3.63, 5 Nd 3.49-3.57, 1 Dy 3.50
Nd4 0.5239 0.8729 0.2505  6 Sc 3.49-3.63, 5 Nd 3.49-3.57, 1 Dy 3.50
Nd5 0.8641 0.8677 0.5000  2 Dy 3.46-3.63, 6 Nd 3.48-3.69, 4 Sc 3.49-3.62
Nd6 0.8536 0.3820 0.5000  6 Sc 3.43-3.63, 2 Dy 3.48-3.54, 4 Nd 3.48-3.69
Nd7 0.5239 0.8729 0.7495  6 Sc 3.49-3.63, 5 Nd 3.49-3.57, 1 Dy 3.50
Nd8 0.0239 0.1271 0.7505  6 Sc 3.49-3.63, 5 Nd 3.49-3.57, 1 Dy 3.50
Dy1 0.8485 0.3803 0.0000  6 Sc 3.40-3.67, 6 Nd 3.46-3.63
Dy2 0.3485 0.6197 0.5000  6 Sc 3.40-3.67, 6 Nd 3.46-3.63
Sc1 0.8670 0.8689 0.0000  2 Sc 3.39, 8 Nd 3.49-3.63, 2 Dy 3.51-3.67
Sc2 0.0172 0.6215 0.2444  3 Sc 3.39-3.53, 2 Dy 3.40-3.51, 7 Nd 3.43-3.63
Sc3 0.5172 0.3785 0.2556  3 Sc 3.39-3.53, 2 Dy 3.40-3.51, 7 Nd 3.43-3.63
Sc4 0.3670 0.1311 0.5000  2 Sc 3.39, 8 Nd 3.49-3.63, 2 Dy 3.51-3.67
Sc5 0.5172 0.3785 0.7444  3 Sc 3.39-3.53, 2 Dy 3.40-3.51, 7 Nd 3.43-3.63
Sc6 0.0172 0.6215 0.7556  3 Sc 3.39-3.53, 2 Dy 3.40-3.51, 7 Nd 3.43-3.63

## Properties
Symmetry   Pmn2_1 (31)
Formation enthalpy at 0 K   0.05 eV/atom
D(E_F)   13.7 states/eV/f.u.
Relative energy among the computed polymorphs   0 meV/atom

Density functional theory data (PBE) for a relaxed GaAu crystal.

Lattice parameters (Å, degrees): 7.9975 7.9975 7.9975 90.00 90.00 90.00
Last column: nearest neighbours and their distance in Å.
Positions (direct):
Ga1 0.1349 0.1349 0.1349  4 Au 2.50-2.62
Ga2 0.1349 0.8651 0.8651  4 Au 2.50-2.62
Ga3 0.8651 0.1349 0.8651  4 Au 2.50-2.62
Ga4 0.8651 0.8651 0.1349  4 Au 2.50-2.62
Ga5 0.6349 0.6349 0.6349  4 Au 2.50-2.62
Ga6 0.6349 0.3651 0.3651  4 Au 2.50-2.62
Ga7 0.3651 0.6349 0.3651  4 Au 2.50-2.62
Ga8 0.3651 0.3651 0.6349  4 Au 2.50-2.62
Au1 0.3152 0.3152 0.3152  4 Ga 2.50-2.62
Au2 0.3152 0.6848 0.6848  4 Ga 2.50-2.62
Au3 0.6848 0.3152 0.6848  4 Ga 2.50-2.62
Au4 0.6848 0.6848 0.3152  4 Ga 2.50-2.62
Au5 0.8152 0.8152 0.8152  4 Ga 2.50-2.62
Au6 0.8152 0.1848 0.1848  4 Ga 2.50-2.62
Au7 0.1848 0.8152 0.1848  4 Ga 2.50-2.62
Au8 0.1848 0.1848 0.8152  4 Ga 2.50-2.62

## Properties
Symmetry   I-43m (217)
Formation enthalpy at 0 K   0.08 eV/atom
D(E_F)   1.1 states/eV/f.u.

Density functional theory data (PBE) for a relaxed LaTlI2N crystal.

Lattice parameters (Å, degrees): 6.2606 6.2606 4.0256 90.00 90.00 90.00
Last column: nearest neighbours and their distance in Å.
Positions (direct):
I1 0.0000 0.5000 0.0000  2 Tl 3.13
I2 0.5000 0.0000 0.0000  2 Tl 3.13
Tl1 0.0000 0.0000 0.0000  2 N 2.01
N1 0.0000 0.0000 0.5000  2 Tl 2.01
La1 0.5000 0.5000 0.5000  8 I 3.72, 2 La 4.03

## Properties
Symmetry   P4/mmm (123)
D(E_F)   5.9 states/eV/f.u.
Relative energy among the computed polymorphs   888 meV/atom
Energy relative to the elements, uncorrected   260.6 meV/atom

Density functional theory data (PBE) for a relaxed TlTe2Se6 crystal.

Lattice parameters (Å, degrees): 6.0600 7.5352 7.5342 120.07 90.11 90.15
Last column: nearest neighbours and their distance in Å.
Positions (direct):
Tl1 0.0000 0.0000 0.0000  6 Se 3.39
Te1 0.5000 0.3334 0.6666  6 Se 2.97-2.99
Te2 0.5000 0.6666 0.3334  6 Se 2.97-2.99
Se1 0.8237 0.9997 0.5723  1 Se 2.40
Se2 0.8238 0.5722 0.9997  1 Se 2.40
Se3 0.8235 0.4273 0.4273  1 Se 2.40
Se4 0.1762 0.4278 0.0003  1 Se 2.40
Se5 0.1762 0.0003 0.4277  1 Se 2.40
Se6 0.1765 0.5727 0.5727  1 Se 2.40

## Properties
Symmetry   C2/m (12)
D(E_F)   5.3 states/eV/f.u.
Energy relative to the elements, uncorrected   96.2 meV/atom

Density functional theory data (PBE) for a relaxed TlC3 crystal.

Lattice parameters (Å, degrees): 3.7580 3.7580 6.0018 89.49 89.49 41.12
Last column: nearest neighbours and their distance in Å.
Positions (direct):
Tl1 0.0000 0.0000 0.0000  2 Tl 2.64
C1 0.5000 0.5000 0.5000  2 C 1.38
C2 0.6960 0.6960 0.5000  3 C 1.38-1.52
C3 0.3040 0.3040 0.5000  3 C 1.38-1.52

## Properties
Symmetry   C2/m (12)
Formation enthalpy at 0 K   0.85 eV/atom
D(E_F)   1.9 states/eV/f.u.
Relative energy among the computed polymorphs   70 meV/atom

Density functional theory data (PBE) for a relaxed Sc2SnBBr crystal.

Lattice parameters (Å, degrees): 4.9516 5.4396 4.9516 90.00 90.00 90.00
Last column: nearest neighbours and their distance in Å.
Positions (direct):
Sc1 0.0000 0.0000 0.5000  2 Br 2.48
Sc2 0.5000 0.0000 0.0000  2 Br 2.48
B1 0.5000 0.5000 0.5000  4 Sn 3.50, 8 Sc 3.68
Sn1 0.0000 0.5000 0.0000  2 Br 2.72
Br1 0.0000 0.0000 0.0000  4 Sc 2.48, 2 Sn 2.72

## Properties
Symmetry   P4/mmm (123)
D(E_F)   4.1 states/eV/f.u.
Energy relative to the elements, uncorrected   1067.0 meV/atom

Density functional theory data (PBE) for a relaxed TiPN3 crystal.

Lattice parameters (Å, degrees): 3.1573 3.1573 10.8740 90.00 90.00 120.00
Last column: nearest neighbours and their distance in Å.
Positions (direct):
P1 0.3333 0.6667 0.7500  5 N 1.70-1.82
P2 0.6667 0.3333 0.2500  5 N 1.70-1.82
N1 0.0000 0.0000 0.2500  3 P 1.82
N2 0.0000 0.0000 0.7500  3 P 1.82
N3 0.3333 0.6667 0.9061  1 P 1.70
N4 0.3333 0.6667 0.5939  1 P 1.70
N5 0.6667 0.3333 0.4061  1 P 1.70
N6 0.6667 0.3333 0.0939  1 P 1.70
Ti1 0.0000 0.0000 0.0000  6 N 2.09
Ti2 0.0000 0.0000 0.5000  6 N 2.09

## Properties
Symmetry   P6_3/mmc (194)
D(E_F)   0.3 states/eV/f.u.
Energy relative to the elements, uncorrected   -432.0 meV/atom

Density functional theory data (PBE) for a relaxed PmZn2Ge2 crystal.

Lattice parameters (Å, degrees): 4.3371 4.3371 10.4454 90.00 90.00 90.00
Last column: nearest neighbours and their distance in Å.
Positions (direct):
Pm1 0.5000 0.0000 0.2581  8 Zn 3.28-3.46, 8 Ge 3.32-3.33
Pm2 0.0000 0.5000 0.7419  8 Zn 3.28-3.46, 8 Ge 3.32-3.33
Zn1 0.0000 0.5000 0.3702  5 Ge 2.43-2.56
Zn2 0.5000 0.0000 0.6298  5 Ge 2.43-2.56
Zn3 0.5000 0.5000 0.0000  4 Ge 2.60
Zn4 0.0000 0.0000 0.0000  4 Ge 2.60
Ge1 0.5000 0.5000 0.5000  4 Zn 2.56
Ge2 0.0000 0.0000 0.5000  4 Zn 2.56
Ge3 0.0000 0.5000 0.1373  5 Zn 2.43-2.60
Ge4 0.5000 0.0000 0.8627  5 Zn 2.43-2.60

## Properties
Symmetry   P4/nmm (129)
Formation enthalpy at 0 K   -0.36 eV/atom
D(E_F)   1.8 states/eV/f.u.

Density functional theory data (PBE) for a relaxed Li3Ac3AlS8 crystal.

Lattice parameters (Å, degrees): 8.4327 8.4333 7.6696 123.36 90.00 120.00
Last column: nearest neighbours and their distance in Å.
Positions (direct):
Li1 0.0000 0.0000 0.0000  6 S 2.74-2.79
Li2 0.0000 0.5000 0.0000  6 S 2.74-2.79
Li3 0.5000 0.5000 0.0000  6 S 2.74-2.79
Ac1 0.5000 0.0000 0.5000  6 S 2.91-3.00
Ac2 0.5000 0.5000 0.5000  6 S 2.91-3.00
Ac3 0.0000 0.5000 0.5000  6 S 2.91-3.00
Al1 0.0000 0.0000 0.5000  6 S 2.51
S1 0.2437 0.4873 0.2311  3 Li 2.79, 3 Ac 2.91
S2 0.7563 0.5127 0.7689  3 Li 2.79, 3 Ac 2.91
S3 0.7786 0.5571 0.2588  1 Al 2.51, 2 Li 2.74
S4 0.2214 0.4429 0.7412  1 Al 2.51, 2 Li 2.74
S5 0.7786 0.9801 0.2588  1 Al 2.51, 2 Li 2.74
S6 0.2214 0.0199 0.7412  1 Al 2.51, 2 Li 2.74
S7 0.2015 0.9801 0.2588  1 Al 2.51, 2 Li 2.74
S8 0.7985 0.0199 0.7412  1 Al 2.51, 2 Li 2.74

## Properties
Symmetry   R-3m (166)
D(E_F)   14.2 states/eV/f.u.
Energy relative to the elements, uncorrected   -1489.8 meV/atom

Density functional theory data (PBE) for a relaxed Ba2AsH crystal.

Lattice parameters (Å, degrees): 6.5350 6.5516 12.9174 89.81 90.00 90.00
Last column: nearest neighbours and their distance in Å.
Positions (direct):
Ba1 0.7649 0.9986 0.8737  2 H 3.00-3.25, 3 As 3.21-3.29
Ba2 0.2351 0.0014 0.1263  2 H 3.00-3.25, 3 As 3.21-3.29
Ba3 0.7649 0.5014 0.6263  2 H 3.00-3.25, 3 As 3.21-3.29
Ba4 0.2351 0.4986 0.3737  2 H 3.00-3.25, 3 As 3.21-3.29
Ba5 0.7497 0.4806 0.1236  2 H 2.95-3.26, 3 As 3.21-3.28
Ba6 0.2503 0.5194 0.8764  2 H 2.95-3.26, 3 As 3.21-3.28
Ba7 0.7497 0.0194 0.3764  2 H 2.95-3.26, 3 As 3.21-3.28
Ba8 0.2503 0.9806 0.6236  2 H 2.95-3.26, 3 As 3.21-3.28
As1 0.2513 0.9968 0.3749  6 Ba 3.21-3.29
As2 0.7487 0.0032 0.6251  6 Ba 3.21-3.29
As3 0.2513 0.5032 0.1251  6 Ba 3.21-3.29
As4 0.7487 0.4968 0.8749  6 Ba 3.21-3.29
H1 0.2226 0.5314 0.6248  4 Ba 2.95-3.26
H2 0.7774 0.4686 0.3752  4 Ba 2.95-3.26
H3 0.2226 0.9686 0.8752  4 Ba 2.95-3.26
H4 0.7774 0.0314 0.1248  4 Ba 2.95-3.26

## Properties
Symmetry   P2/c (13)
Relative energy among the computed polymorphs   11 meV/atom